A geometry-optimized NaSrCaMnO6 structure, computed with GGA+U.

abc: 5.8382 5.8382 5.8382
angles: 60.00 60.00 60.00
Positions (direct):
Na: 0.7500 0.7500 0.7500
Sr: 0.2500 0.2500 0.2500
Ca: 0.0000 0.0000 0.0000
Mn: 0.5000 0.5000 0.5000
O: 0.2727 0.7273 0.2727
O: 0.7273 0.2727 0.7273
O: 0.2727 0.7273 0.7273
O: 0.7273 0.2727 0.2727
O: 0.2727 0.2727 0.7273
O: 0.7273 0.7273 0.2727

Calculated values
The magnetic moment is 6.0 μB per formula unit. The electronic total energy is -58.34 eV/cell.